*a*
{
  "formula": "ScZn2W",
  "functional": "PBE",
  "state": "optimized geometry",
  "n_ef_per_ev_fu": 2.66,
  "sg": "No. 10",
  "total_magnetization_mub_per_fu": 0.00,
  "lattice": [[-1.363, 0.689, 2.418], [2.602, -3.557, 2.480], [5.027, 0.785, 2.610]],
  "species": ["Zn", "Zn", "W", "Sc"],
  "frac_coords": [[0.000, 0.000, 0.000], [0.500, 0.500, 0.000], [0.000, 0.000, 0.500], [0.500, 0.500, 0.500]]
}



*b*
{
  "formula": "ScZn2W",
  "functional": "PBE",
  "state": "optimized geometry",
  "n_ef_per_ev_fu": 3.68,
  "sg": "No. 225",
  "total_magnetization_mub_per_fu": 0.60,
  "lattice": [[-4.385, -0.698, 0.860], [-2.049, 2.299, 3.312], [-3.039, 3.193, -1.010]],
  "species": ["Sc", "Zn", "Zn", "W"],
  "frac_coords": [[0.000, 0.000, 0.000], [0.250, 0.250, 0.250], [0.750, 0.750, 0.750], [0.500, 0.500, 0.500]]
}



*c*
{
  "formula": "ScZn2W",
  "functional": "PBE",
  "state": "optimized geometry",
  "n_ef_per_ev_fu": 4.41,
  "sg": "No. 6",
  "total_magnetization_mub_per_fu": 0.00,
  "lattice": [[4.244, 0.000, 0.000], [0.000, 2.902, 0.074], [0.000, 1.227, 5.401]],
  "species": ["Zn", "Zn", "Sc", "W"],
  "frac_coords": [[0.000, 0.187, 0.989], [0.500, 0.063, 0.251], [0.000, 0.449, 0.483], [0.500, 0.800, 0.776]]
}



*d*
{
  "formula": "ScZn2W",
  "functional": "PBE",
  "state": "optimized geometry",
  "n_ef_per_ev_fu": 2.05,
  "sg": "No. 99",
  "total_magnetization_mub_per_fu": 0.00,
  "lattice": [[2.800, 0.024, 0.000], [-0.026, 2.800, 0.000], [0.000, 0.000, 8.377]],
  "species": ["Zn", "Zn", "W", "Sc"],
  "frac_coords": [[0.500, 0.500, 0.231], [0.000, 0.000, 0.008], [0.500, 0.500, 0.767], [0.000, 0.000, 0.494]]
}



Most stable: *d*. Least stable: *a*.